Entry from the Alexandria database: an optimized crystal structure of Tl5Hg12Sb2 (GGA-PBE).

Lattice parameters (Å, degrees): 16.2708 9.4643 7.2797 90.00 91.16 90.00
With the nearest neighbours (Å) after each atom.
Space group C2/m (No. 12)
Symmetry-distinct sites (fractional):
Tl (0.0000, 0.0000, 0.0000) x2  6 Hg 3.37-3.59
Tl (0.1994, 0.5000, 0.5365) x4  8 Hg 3.33-3.58, 2 Sb 3.56
Tl (0.2334, 0.0000, 0.9558) x4  10 Hg 3.30-3.67
Hg (0.0675, 0.5000, 0.1370) x4  5 Hg 2.94-3.23, 2 Sb 3.23
Hg (0.0925, 0.0000, 0.5562) x4  5 Hg 3.10-3.27, 1 Tl 3.47
Hg (0.1135, 0.2687, 0.8365) x8  1 Sb 3.12, 3 Hg 3.19-3.28, 3 Tl 3.31-3.41
Hg (0.1645, 0.2195, 0.2696) x8  3 Hg 3.18-3.28, 4 Tl 3.30-3.55, 1 Sb 3.40
Sb (0.0000, 0.3458, 0.5000) x4  1 Sb 2.92, 4 Hg 3.12-3.23

Calculated values
Formation energy without anion corrections in meV per atom: 30
Energy in eV/atom: -1.218

=====

Entry from the Alexandria database: an optimized crystal structure of KLiY (GGA-PBE).

Lattice parameters (Å, degrees): 6.0826 6.0826 3.4635 90.00 90.00 120.00
With the nearest neighbours (Å) after each atom.
Space group P-6m2 (No. 187)
Symmetry-distinct sites (fractional):
K (0.0000, 0.0000, 0.0000) x1  2 K 3.46, 3 Li 3.51
Li (0.6667, 0.3333, 0.0000) x1  2 Li 3.46, 3 K 3.51
Y (0.3333, 0.6667, 0.5000) x1  2 Y 3.46

Calculated values
Energy in eV/atom: -2.650
Formation energy in eV per atom: 0.51
Distance to the lowest polymorph of the same formula in meV per atom: 189

=====

Entry from the Alexandria database: an optimized crystal structure of Mg2InH (GGA-PBE).

Lattice parameters (Å, degrees): 5.7373 5.7446 5.9605 118.29 104.92 103.69
With the nearest neighbours (Å) after each atom.
Space group P1 (No. 1)
Symmetry-distinct sites (fractional):
Mg (0.0000, 0.0000, 0.0000) x1  1 H 1.90
Mg (0.0000, 0.2817, 0.6362) x1  1 H 1.88
Mg (0.2983, 0.8054, 0.5007) x1  1 H 1.90
Mg (0.6567, 0.4335, 0.1291) x1  1 H 1.88
In (0.4890, 0.8452, 0.0539) x1  8 Mg 2.93-3.21, 2 In 3.01
In (0.5106, 0.3693, 0.5514) x1  8 Mg 2.93-3.21, 2 In 3.01
H (0.0012, 0.4599, 0.1815) x1  2 Mg 1.88-1.90
H (0.0297, 0.9881, 0.6849) x1  2 Mg 1.88-1.90

Calculated values
Energy in eV/atom: -2.349
Distance to the lowest polymorph of the same formula in meV per atom: 52

=====

Entry from the Alexandria database: an optimized crystal structure of SrLi2Tl2 (GGA-PBE).

Lattice parameters (Å, degrees): 5.2045 5.2045 9.9608 90.00 90.00 90.00
With the nearest neighbours (Å) after each atom.
Space group I4/mmm (No. 139)
Symmetry-distinct sites (fractional):
Sr (0.0000, 0.0000, 0.0000) x2  8 Tl 3.60, 10 Li 3.63-3.92
Li (0.0000, 0.0000, 0.3646) x4  1 Li 2.70, 4 Tl 2.84
Tl (0.0000, 0.5000, 0.2500) x4  4 Li 2.84

Calculated values
Energy in eV/atom: -2.275
Formation energy in eV per atom: -0.23
Distance to the lowest polymorph of the same formula in meV per atom: 22